i.
A relaxed Tb4HoTm3 crystal, computed with GGA-PBE.

```
Tb4HoTm3
1.0
6.2353 0.0000 0.0000
0.0000 7.2112 0.0000
0.0000 0.0000 11.1626
Tm Tb Ho
6 8 2
Direct
0.9808 0.6233 0.7501
0.4808 0.3767 0.7499
0.6481 0.6229 0.0000
0.1481 0.3771 0.5000
0.4808 0.3767 0.2501
0.9808 0.6233 0.2499
0.6483 0.1270 0.0000
0.1483 0.8730 0.5000
0.1464 0.8734 0.0000
0.4812 0.8735 0.2492
0.4812 0.8735 0.7508
0.9812 0.1265 0.2508
0.6464 0.1266 0.5000
0.9812 0.1265 0.7492
0.1484 0.3766 0.0000
0.6484 0.6234 0.5000
```

Calculated values
Crystal system: orthorhombic
N(E_F), states/eV/atom: 1.67
Total magnetic moment, μB/cell: 0.000
Calculated volume, A^3/atom: 31.4
Mass density, g/cm3: 8.65
SG: No. 31


ii.
A relaxed Tb4HoTm3 crystal, computed with GGA-PBE.

```
Tb4HoTm3
1.0
-4.9736 -1.4169 -2.0541
-1.1502 -0.7188 3.2809
-1.5106 12.8973 2.2981
Tm Tb Ho
3 4 1
Direct
0.0000 0.5000 0.0000
0.8457 0.9995 0.6913
0.1543 0.0005 0.3087
0.2770 0.4991 0.5540
0.7230 0.5009 0.4460
0.6032 0.5002 0.2065
0.3968 0.4998 0.7935
0.5000 0.0000 0.0000
```

Calculated values
Crystal system: orthorhombic
N(E_F), states/eV/atom: 1.43
Total magnetic moment, μB/cell: 0.000
Calculated volume, A^3/atom: 31.8
Mass density, g/cm3: 8.53
SG: No. 65


Q: What are the energies relative to the best structure? A: i 0.000; ii 0.203, in eV/atom.